Compound: Dy2PdS
Source: Alexandria
Functional: GGA-PBE
Structure: relaxed

It has space group R-3m (No. 166, hexagonal axes), with a = 3.6026 Å, b = 3.6026 Å, c = 25.9739 Å, α = 90.00°, β = 90.00° and γ = 120.00°. The distinct sites, in fractional coordinates, are Dy at (0.0000, 0.0000, 0.1009), Pd at (0.0000, 0.0000, 0.0000) and S at (0.0000, 0.0000, 0.5000).

The value obtained for the energy above the lowest structure with this stoichiometry is 659 meV per atom. The density of states at the Fermi level comes out at 0.620 states/eV per atom. Its calculated volume is 24.329 Å³/atom. Its formation energy from raw total energies is -75.7 kJ/mol of atoms.


Compound: Nd3SiSb
Source: Alexandria
Functional: GGA-PBE
Structure: relaxed

It has space group C2/c (No. 15), with a = 15.3071 Å, b = 12.1401 Å, c = 7.5281 Å, α = 90.00°, β = 101.87° and γ = 90.00°. The distinct sites, in fractional coordinates, are Nd at (0.1036, 0.0636, 0.4407), Nd at (0.1042, 0.2448, 0.9627), Nd at (0.1127, 0.4190, 0.4672), Si at (0.0000, 0.2437, 0.2500), Si at (0.0000, 0.4141, 0.7500) and Sb at (0.2466, 0.1030, 0.7982).

The density of states at the Fermi level comes out at 0.779 states/eV per atom. Its calculated volume is 34.225 Å³/atom. Its formation energy from raw total energies is -59.2 kJ/mol of atoms.


Compound: PmDyAu5
Source: Alexandria
Functional: GGA-PBE
Structure: relaxed

It has space group C2/c (No. 15), with a = 6.6870 Å, b = 8.3031 Å, c = 11.4944 Å, α = 90.00°, β = 106.68° and γ = 90.00°. The distinct sites, in fractional coordinates, are Pm at (0.2500, 0.2500, 0.0000), Dy at (0.0000, 0.1899, 0.2500), Au at (0.0000, 0.1744, 0.7500), Au at (0.1035, 0.4923, 0.6530) and Au at (0.1776, 0.1066, 0.5380).

The density of states at the Fermi level comes out at 0.610 states/eV per atom. Its calculated volume is 21.834 Å³/atom. The calculated formation energy is -0.639 eV per atom.


- Which value of calculated volume does entry 1 give?
  24.329 Å³/atom